A relaxed structure of U3VSe6, computed with PBE-GGA.

The value obtained for the uncorrected formation energy is -0.984 eV per atom. The value obtained for the total energy is -0.542 Ry/atom. The space-group type is R-3. The value obtained for the density of states at the Fermi level is 37.3 states/eV/cell.

```
U3VSe6
1.0
-5.480 4.417 -3.892
-2.725 -7.329 -1.883
-2.981 0.574 7.448
U V Se
6 2 12
Direct
0.120 0.633 0.297
0.297 0.120 0.633
0.367 0.703 0.880
0.633 0.297 0.120
0.703 0.880 0.367
0.880 0.367 0.703
0.000 0.000 0.000
0.500 0.500 0.500
0.023 0.685 0.935
0.065 0.977 0.315
0.190 0.427 0.562
0.315 0.065 0.977
0.427 0.562 0.190
0.438 0.810 0.573
0.562 0.190 0.427
0.573 0.438 0.810
0.685 0.935 0.023
0.810 0.573 0.438
0.935 0.023 0.685
0.977 0.315 0.065
```

---

A relaxed structure of UV4Se8, computed with PBE-GGA.

The value obtained for the uncorrected formation energy is -0.762 eV per atom. The value obtained for the total energy is -0.484 Ry/atom. The space-group type is R-3m. The value obtained for the density of states at the Fermi level is 13.4 states/eV/cell.

```
UV4Se8
1.0
-3.415 6.438 -1.134
-5.439 2.132 4.502
1.266 5.750 4.848
U V Se
1 4 8
Direct
0.500 0.500 0.500
0.000 0.500 0.000
0.500 0.500 0.000
0.500 0.000 0.000
0.000 0.000 0.000
0.753 0.239 0.769
0.761 0.247 0.231
0.247 0.761 0.231
0.761 0.761 0.231
0.741 0.741 0.778
0.259 0.259 0.222
0.239 0.239 0.769
0.239 0.753 0.769
```

---

A relaxed structure of UWSe2, computed with PBE-GGA.

The value obtained for the uncorrected formation energy is 0.209 eV per atom. The value obtained for the total energy is -0.558 Ry/atom. The space-group type is R-3m. The value obtained for the density of states at the Fermi level is 7.3 states/eV/cell.

```
UWSe2
1.0
3.152 0.000 0.000
1.576 2.729 0.000
1.576 0.910 9.376
U Se W
1 2 1
Direct
0.500 0.500 0.500
0.088 0.088 0.737
0.912 0.912 0.263
0.000 0.000 0.000
```